1.
# Er2Mg3Sc3

Crystalline Er2Mg3Sc3 at its relaxed geometry (GGA-PBE, Alexandria via LeMat-Bulk).

E_form: 0.01 eV/atom
Symmetry: Pmmm, No. 47
DOS(E_F): 1.33 states/eV/atom

```
8
Lattice="4.982 0.000 0.000 0.000 5.008 0.000 0.000 0.000 8.114" Properties=species:S:1:pos:R:3 pbc="T T T"
Er 0.000 0.000 2.021
Er 0.000 0.000 6.093
Mg 0.000 2.504 0.000
Mg 0.000 2.504 4.057
Mg 2.491 0.000 0.000
Sc 2.491 0.000 4.057
Sc 2.491 2.504 1.962
Sc 2.491 2.504 6.152
```



2.
# ErMg2Sc3

Crystalline ErMg2Sc3 at its relaxed geometry (GGA-PBE, Alexandria via LeMat-Bulk).

E_form: -0.01 eV/atom
Symmetry: P4/mmm, No. 123
DOS(E_F): 1.28 states/eV/atom

```
6
Lattice="3.410 0.000 0.000 0.000 3.410 0.000 0.000 0.000 12.771" Properties=species:S:1:pos:R:3 pbc="T T T"
Er 0.000 0.000 0.000
Mg 0.000 0.000 4.396
Mg 0.000 0.000 8.375
Sc 1.705 1.705 2.350
Sc 1.705 1.705 6.385
Sc 1.705 1.705 10.420
```



Q: Among the records above, which one has the highest E_form?
A: Er2Mg3Sc3



Q: Among the records above, which one has the highest DOS(E_F)?
A: Er2Mg3Sc3